## La4TaMn (GGA-PBE)

Data for La4TaMn after structural relaxation.

Lattice parameters (Å, degrees): 6.3303 6.3303 6.3303 60.00 60.00 60.00
With the nearest neighbours (Å) after each atom.
Fractional coordinates of all 6 atoms:
La 0.3759 0.3759 0.3759  6 La 3.14-3.19
La 0.3759 0.3759 0.8723  6 La 3.14-3.19
La 0.3759 0.8723 0.3759  6 La 3.14-3.19
La 0.8723 0.3759 0.3759  6 La 3.14-3.19
Ta 0.7500 0.7500 0.7500  12 La 3.71, 4 Mn 3.88
Mn 0.0000 0.0000 0.0000  12 La 3.71, 4 Ta 3.88

Results
**Raw total energy**: -5.8171 eV per atom
**Crystal system**: cubic
**Calculated formation energy**: 0.972 eV/atom

---

## TcTeRu2 (GGA-PBE)

Data for TcTeRu2 after structural relaxation.

Lattice parameters (Å, degrees): 4.8469 4.8469 4.7073 96.37 96.37 35.80
With the nearest neighbours (Å) after each atom.
Fractional coordinates of all 4 atoms:
Tc 0.0000 0.0000 0.0000  5 Ru 2.62-2.75, 1 Te 2.68
Te 0.2296 0.2296 0.6991  5 Ru 2.61-2.79, 1 Tc 2.68
Ru 0.4668 0.4668 0.4469  1 Te 2.61, 2 Tc 2.62, 3 Ru 2.77-2.82
Ru 0.7319 0.7319 0.2013  3 Tc 2.69-2.75, 5 Ru 2.77-2.98, 4 Te 2.78-2.79

Results
**Raw total energy**: -7.6760 eV per atom
**Crystal system**: monoclinic
**Formation energy without anion corrections**: 0.339 eV/atom

---

## SrTcP2 (GGA-PBE)

Data for SrTcP2 after structural relaxation.

Lattice parameters (Å, degrees): 5.0379 5.0379 5.0379 131.78 107.20 92.17
With the nearest neighbours (Å) after each atom.
Fractional coordinates of all 4 atoms:
Sr 0.0000 0.0000 0.0000  8 P 3.12-3.20, 2 Tc 3.49
Tc 0.5000 0.5000 0.0000  4 P 2.36
P 0.3360 0.8360 0.5000  1 P 2.29, 2 Tc 2.36
P 0.6640 0.1640 0.5000  1 P 2.29, 2 Tc 2.36

Results
**Energy relative to the lowest polymorph listed for this composition**: 1.11 eV per formula unit
**Raw total energy**: -6.0115 eV per atom
**Crystal system**: orthorhombic
**Calculated formation energy**: -0.295 eV/atom

---

## SrFePb (GGA-PBE)

Data for SrFePb after structural relaxation.

Lattice parameters (Å, degrees): 4.9780 4.9780 4.9780 60.00 60.00 60.00
With the nearest neighbours (Å) after each atom.
Fractional coordinates of all 3 atoms:
Sr 0.0000 0.0000 0.0000  4 Fe 3.05
Fe 0.7500 0.7500 0.7500  4 Pb 3.05, 4 Sr 3.05
Pb 0.5000 0.5000 0.5000  4 Fe 3.05

Results
**Raw total energy**: -4.2499 eV per atom
**Crystal system**: cubic
**Calculated formation energy**: 0.368 eV/atom

---

Copy entry 3 word for word.
## SrTcP2 (GGA-PBE)

Data for SrTcP2 after structural relaxation.

Lattice parameters (Å, degrees): 5.0379 5.0379 5.0379 131.78 107.20 92.17
With the nearest neighbours (Å) after each atom.
Fractional coordinates of all 4 atoms:
Sr 0.0000 0.0000 0.0000  8 P 3.12-3.20, 2 Tc 3.49
Tc 0.5000 0.5000 0.0000  4 P 2.36
P 0.3360 0.8360 0.5000  1 P 2.29, 2 Tc 2.36
P 0.6640 0.1640 0.5000  1 P 2.29, 2 Tc 2.36

Results
**Energy relative to the lowest polymorph listed for this composition**: 1.11 eV per formula unit
**Raw total energy**: -6.0115 eV per atom
**Crystal system**: orthorhombic
**Calculated formation energy**: -0.295 eV/atom